Record 1
Entry from the Alexandria database: a relaxed structure of PrTm2Rh3 (PBE).

The structure in POSCAR format:
```
PrTm2Rh3
1.0
-1.541 -3.880 -2.480
4.703 1.207 -0.057
0.945 -3.457 4.821
Pr Tm Rh
1 2 3
Cartesian
0.000 0.000 0.000
0.861 -3.358 -0.036
3.246 -2.772 2.320
0.473 -1.728 2.410
1.314 -5.012 2.271
2.794 -1.118 0.013
```

Values from the calculation:
SG ... No. 164
DOS(E_F) ... 0.73 states/eV per atom
V ... 122.7 Å³/cell
Calculated formation energy ... -817 meV/atom


Record 2
Entry from the Alexandria database: a relaxed structure of In2GaCoBr (PBE).

The structure in POSCAR format:
```
In2GaCoBr
1.0
5.088 0.000 0.000
0.000 5.088 0.000
0.000 0.000 4.608
Co Ga Br In
1 1 1 2
Cartesian
0.000 0.000 0.000
0.000 0.000 2.304
2.544 2.544 2.304
0.000 2.544 0.000
2.544 0.000 0.000
```

Values from the calculation:
SG ... No. 123
Raw formation energy ... -227 meV/atom
DOS(E_F) ... 0.53 states/eV per atom
V ... 119.3 Å³/cell


Record 3
Entry from the Alexandria database: a relaxed structure of NbCo2H2 (PBE).

The structure in POSCAR format:
```
NbCo2H2
1.0
-2.255 -0.781 2.649
-1.582 -2.439 -2.065
0.451 -4.207 1.544
H Nb Co
2 1 2
Cartesian
-0.924 -2.700 0.817
-2.463 -4.726 1.311
0.000 0.000 0.000
-1.862 -3.299 2.243
-1.525 -4.128 -0.115
```

Values from the calculation:
Energy ... -6.128 eV/atom
SG ... No. 139
DOS(E_F) ... 0.44 states/eV per atom
V ... 47.5 Å³/cell


Record 4
Entry from the Alexandria database: a relaxed structure of PuTeI (PBE).

The structure in POSCAR format:
```
PuTeI
1.0
-1.440 3.516 0.524
-0.927 0.174 -3.718
-5.181 -4.668 3.053
I Te Pu
1 1 1
Cartesian
-3.803 -1.687 0.870
-0.536 -0.238 0.123
-3.209 0.947 -1.134
```

Values from the calculation:
SG ... No. 107
Raw formation energy ... -892 meV/atom
DOS(E_F) ... 3.10 states/eV per atom
V ... 104.6 Å³/cell


Record 5
Entry from the Alexandria database: a relaxed structure of NdY2Ho (PBE).

The structure in POSCAR format:
```
NdY2Ho
1.0
3.616 0.000 0.000
1.808 3.131 0.000
1.808 1.044 11.565
Nd Y Ho
1 2 1
Cartesian
3.616 2.088 0.011
1.808 1.044 8.620
1.808 1.044 2.947
3.616 2.088 5.769
```

Values from the calculation:
SG ... No. 160
DOS(E_F) ... 1.66 states/eV per atom
V ... 130.9 Å³/cell
Calculated formation energy ... 6 meV/atom


Record 6
Entry from the Alexandria database: a relaxed structure of BeZnRe2 (PBE).

The structure in POSCAR format:
```
BeZnRe2
1.0
-2.205 -2.677 -2.987
0.475 -2.771 -3.612
0.369 -3.989 2.185
Re Zn Be
2 1 1
Cartesian
-0.007 -0.055 -0.021
-0.351 -2.319 -1.157
-0.670 -4.793 -2.152
-1.013 -6.989 -3.290
```

Values from the calculation:
SG ... No. 8
DOS(E_F) ... 0.70 states/eV per atom
V ... 54.1 Å³/cell
Calculated formation energy ... 235 meV/atom